(1)
Here is an optimized crystal structure of CeNpSe2 from the Alexandria database. Energies are from PBE.

It has space group R-3m (No. 166, hexagonal axes), with a = 4.1612 Å, b = 4.1612 Å, c = 20.1614 Å, α = 90.00°, β = 90.00° and γ = 120.00°. Symmetry generates all atoms from Ce at (0.0000, 0.0000, 0.0000), Np at (0.0000, 0.0000, 0.5000) and Se at (0.0000, 0.0000, 0.2469).

For the uncorrected formation energy, the calculation gives -1453 meV per atom. The calculation puts the density of states at the Fermi level at 28.23 states/eV/cell. Its total energy is -7.914 eV/atom. As for the energy relative to the lowest polymorph listed for this composition: 0 meV per atom.

---

(2)
Here is an optimized crystal structure of Ce4NpSe6 from the Alexandria database. Energies are from PBE.

It has space group R-3c (No. 167, hexagonal axes), with a = 11.8599 Å, b = 11.8599 Å, c = 14.2938 Å, α = 90.00°, β = 90.00° and γ = 120.00°. Symmetry generates all atoms from Ce at (0.0000, 0.0000, 0.2500), Ce at (0.0000, 0.3850, 0.2500), Np at (0.0000, 0.0000, 0.0000) and Se at (0.0286, 0.2055, 0.3843).

For the uncorrected formation energy, the calculation gives -1562 meV per atom. The calculation puts the density of states at the Fermi level at 172.70 states/eV/cell. Its total energy is -6.797 eV/atom.

---

(3)
Here is an optimized crystal structure of CeSmNp2Se4 from the Alexandria database. Energies are from PBE.

It has space group P2/m (No. 10), with a = 7.1574 Å, b = 4.1443 Å, c = 7.1910 Å, α = 90.00°, β = 109.44° and γ = 90.00°. Symmetry generates all atoms from Ce at (0.0000, 0.0000, 0.0000), Sm at (0.0000, 0.5000, 0.5000), Np at (0.5000, 0.0000, 0.5000), Np at (0.5000, 0.5000, 0.0000), Se at (0.2566, 0.0000, 0.7512) and Se at (0.2581, 0.5000, 0.2539).

For the uncorrected formation energy, the calculation gives -1459 meV per atom. The calculation puts the density of states at the Fermi level at 17.81 states/eV/cell. Its total energy is -7.768 eV/atom.

---

(4)
Here is an optimized crystal structure of TbCeNp2Se4 from the Alexandria database. Energies are from PBE.

It has space group P2/m (No. 10), with a = 7.1165 Å, b = 4.1250 Å, c = 7.1664 Å, α = 90.00°, β = 109.42° and γ = 90.00°. Symmetry generates all atoms from Tb at (0.0000, 0.0000, 0.0000), Ce at (0.0000, 0.5000, 0.5000), Np at (0.5000, 0.0000, 0.5000), Np at (0.5000, 0.5000, 0.0000), Se at (0.2519, 0.5000, 0.2469) and Se at (0.2557, 0.0000, 0.7560).

For the uncorrected formation energy, the calculation gives -1448 meV per atom. The calculation puts the density of states at the Fermi level at 17.09 states/eV/cell. Its total energy is -7.746 eV/atom.

---

(5)
Here is an optimized crystal structure of CeNp3Tl4Se8 from the Alexandria database. Energies are from PBE.

It has space group R-3m (No. 166, hexagonal axes), with a = 8.5092 Å, b = 8.5092 Å, c = 23.2799 Å, α = 90.00°, β = 90.00° and γ = 120.00°. Symmetry generates all atoms from Ce at (0.0000, 0.0000, 0.0000), Np at (0.0000, 0.5000, 0.0000), Tl at (0.0000, 0.0000, 0.5000), Tl at (0.0000, 0.5000, 0.5000), Se at (0.0000, 0.0000, 0.2664) and Se at (0.0042, 0.5021, 0.2649).

For the uncorrected formation energy, the calculation gives -1010 meV per atom. The calculation puts the density of states at the Fermi level at 99.52 states/eV/cell. Its total energy is -6.141 eV/atom.

---

(6)
Here is an optimized crystal structure of CeNpTl2Se4 from the Alexandria database. Energies are from PBE.

It has space group P2/m (No. 10), with a = 7.4158 Å, b = 4.2833 Å, c = 8.1370 Å, α = 90.00°, β = 107.73° and γ = 90.00°. Symmetry generates all atoms from Ce at (0.0000, 0.0000, 0.0000), Np at (0.5000, 0.5000, 0.0000), Tl at (0.0000, 0.5000, 0.5000), Tl at (0.5000, 0.0000, 0.5000), Se at (0.2394, 0.5000, 0.2075) and Se at (0.2697, 0.0000, 0.7958).

For the uncorrected formation energy, the calculation gives -1112 meV per atom. The calculation puts the density of states at the Fermi level at 14.20 states/eV/cell. Its total energy is -5.805 eV/atom.

---

(7)
Here is an optimized crystal structure of CeTmNp2Se4 from the Alexandria database. Energies are from PBE.

It has space group P2/m (No. 10), with a = 7.0771 Å, b = 4.1011 Å, c = 7.1455 Å, α = 90.00°, β = 109.35° and γ = 90.00°. Symmetry generates all atoms from Ce at (0.0000, 0.0000, 0.0000), Tm at (0.0000, 0.5000, 0.5000), Np at (0.5000, 0.0000, 0.5000), Np at (0.5000, 0.5000, 0.0000), Se at (0.2468, 0.0000, 0.7420) and Se at (0.2532, 0.5000, 0.2583).

For the uncorrected formation energy, the calculation gives -1418 meV per atom. The calculation puts the density of states at the Fermi level at 17.08 states/eV/cell. Its total energy is -7.696 eV/atom.

---

(8)
Here is an optimized crystal structure of CeNpSi from the Alexandria database. Energies are from PBE.

It has space group P3m1 (No. 156), with a = 4.7381 Å, b = 4.7381 Å, c = 3.3087 Å, α = 90.00°, β = 90.00° and γ = 120.00°. Symmetry generates all atoms from Ce at (0.0000, 0.0000, 0.0000), Np at (0.3333, 0.6667, 0.3010) and Si at (0.6667, 0.3333, 0.6080).

For the uncorrected formation energy, the calculation gives -46 meV per atom. The calculation puts the density of states at the Fermi level at 7.96 states/eV/cell. Its total energy is -8.145 eV/atom.

---

(9)
Here is an optimized crystal structure of CeNpSn2 from the Alexandria database. Energies are from PBE.

It has space group P4/mmm (No. 123), with a = 3.3855 Å, b = 3.3855 Å, c = 9.2070 Å, α = 90.00°, β = 90.00° and γ = 90.00°. Symmetry generates all atoms from Ce at (0.0000, 0.0000, 0.0000), Np at (0.0000, 0.0000, 0.5000) and Sn at (0.5000, 0.5000, 0.2545).

The calculation puts the density of states at the Fermi level at 9.93 states/eV/cell. Its total energy is -7.018 eV/atom. As for the energy relative to the lowest polymorph listed for this composition: 0 meV per atom.

---

(10)
Here is an optimized crystal structure of Ce2NpSn from the Alexandria database. Energies are from PBE.

It has space group P4/mmm (No. 123), with a = 5.5064 Å, b = 5.5064 Å, c = 3.4517 Å, α = 90.00°, β = 90.00° and γ = 90.00°. Symmetry generates all atoms from Ce at (0.0000, 0.5000, 0.0000), Np at (0.0000, 0.0000, 0.5000) and Sn at (0.5000, 0.5000, 0.5000).

The calculation puts the density of states at the Fermi level at 9.56 states/eV/cell. Its total energy is -7.300 eV/atom. As for the energy relative to the lowest polymorph listed for this composition: 0 meV per atom.

---

(11)
Here is an optimized crystal structure of CeNpSn2 from the Alexandria database. Energies are from PBE.

It has space group P4/mmm (No. 123), with a = 4.8308 Å, b = 4.8308 Å, c = 4.5734 Å, α = 90.00°, β = 90.00° and γ = 90.00°. Symmetry generates all atoms from Ce at (0.0000, 0.0000, 0.0000), Np at (0.5000, 0.5000, 0.0000) and Sn at (0.0000, 0.5000, 0.5000).

The calculation puts the density of states at the Fermi level at 15.36 states/eV/cell. Its total energy is -6.982 eV/atom. As for the energy relative to the lowest polymorph listed for this composition: 36 meV per atom.

---

(12)
Here is an optimized crystal structure of Ce2NpSn from the Alexandria database. Energies are from PBE.

It has space group R-3m (No. 166, hexagonal axes), with a = 3.6417 Å, b = 3.6417 Å, c = 28.5227 Å, α = 90.00°, β = 90.00° and γ = 120.00°. Symmetry generates all atoms from Ce at (0.0000, 0.0000, 0.1119), Np at (0.0000, 0.0000, 0.5000) and Sn at (0.0000, 0.0000, 0.0000).

The calculation puts the density of states at the Fermi level at 16.47 states/eV/cell. Its total energy is -6.883 eV/atom. As for the energy relative to the lowest polymorph listed for this composition: 417 meV per atom.

---

(13)
Here is an optimized crystal structure of CeNpTc2 from the Alexandria database. Energies are from PBE.

It has space group R-3m (No. 166, hexagonal axes), with a = 4.5210 Å, b = 4.5210 Å, c = 13.6186 Å, α = 90.00°, β = 90.00° and γ = 120.00°. Symmetry generates all atoms from Ce at (0.0000, 0.0000, 0.0000), Np at (0.0000, 0.0000, 0.5000) and Tc at (0.0000, 0.0000, 0.2263).

The calculation puts the density of states at the Fermi level at 26.03 states/eV/cell. Its total energy is -9.798 eV/atom. As for the energy relative to the lowest polymorph listed for this composition: 24 meV per atom.

---

(14)
Here is an optimized crystal structure of CeNpTc from the Alexandria database. Energies are from PBE.

It has space group C2/m (No. 12), with a = 10.1010 Å, b = 4.6023 Å, c = 6.1848 Å, α = 90.00°, β = 123.46° and γ = 90.00°. Symmetry generates all atoms from Ce at (0.1704, 0.0000, 0.0733), Np at (0.0067, 0.5000, 0.2925) and Tc at (0.1605, 0.0000, 0.5520).

The calculation puts the density of states at the Fermi level at 25.52 states/eV/cell. Its total energy is -9.617 eV/atom. As for the energy relative to the lowest polymorph listed for this composition: 35 meV per atom.

---

(15)
Here is an optimized crystal structure of CeNpTc4 from the Alexandria database. Energies are from PBE.

It has space group F-43m (No. 216), with a = 7.6083 Å, b = 7.6083 Å, c = 7.6083 Å, α = 90.00°, β = 90.00° and γ = 90.00°. Symmetry generates all atoms from Ce at (0.0000, 0.0000, 0.0000), Np at (0.2500, 0.2500, 0.2500) and Tc at (0.1249, 0.1249, 0.6249).

The calculation puts the density of states at the Fermi level at 71.75 states/eV/cell. Its total energy is -9.985 eV/atom.

---

(16)
Here is an optimized crystal structure of CeNpTc2 from the Alexandria database. Energies are from PBE.

It has space group P4/mmm (No. 123), with a = 3.2999 Å, b = 3.2999 Å, c = 7.2710 Å, α = 90.00°, β = 90.00° and γ = 90.00°. Symmetry generates all atoms from Ce at (0.0000, 0.0000, 0.0000), Np at (0.0000, 0.0000, 0.5000) and Tc at (0.5000, 0.5000, 0.2960).

The calculation puts the density of states at the Fermi level at 7.24 states/eV/cell. Its total energy is -9.822 eV/atom. As for the energy relative to the lowest polymorph listed for this composition: 0 meV per atom.

---

(17)
Here is an optimized crystal structure of CeNpTc2 from the Alexandria database. Energies are from PBE.

It has space group Pnma (No. 62), with a = 7.6044 Å, b = 7.2604 Å, c = 5.6892 Å, α = 90.00°, β = 90.00° and γ = 90.00°. Symmetry generates all atoms from Ce at (0.0277, 0.2500, 0.1199), Np at (0.0985, 0.7500, 0.3341) and Tc at (0.1792, 0.0436, 0.5887).

The calculation puts the density of states at the Fermi level at 29.22 states/eV/cell. Its total energy is -9.794 eV/atom. As for the energy relative to the lowest polymorph listed for this composition: 28 meV per atom.

---

(18)
Here is an optimized crystal structure of CeNpTc3 from the Alexandria database. Energies are from PBE.

It has space group Cmcm (No. 63), with a = 7.1410 Å, b = 10.3029 Å, c = 5.4064 Å, α = 90.00°, β = 90.00° and γ = 90.00°. Symmetry generates all atoms from Ce at (0.0000, 0.0386, 0.2500), Np at (0.0000, 0.2968, 0.2500), Tc at (0.0000, 0.5000, 0.0000) and Tc at (0.1821, 0.2537, 0.7500).

The calculation puts the density of states at the Fermi level at 36.86 states/eV/cell. Its total energy is -9.436 eV/atom.

---

(19)
Here is an optimized crystal structure of CeNpTc from the Alexandria database. Energies are from PBE.

It has space group P3m1 (No. 156), with a = 4.7833 Å, b = 4.7833 Å, c = 2.7551 Å, α = 90.00°, β = 90.00° and γ = 120.00°. Symmetry generates all atoms from Ce at (0.0000, 0.0000, 0.0000), Np at (0.3333, 0.6667, 0.0105) and Tc at (0.6667, 0.3333, 0.3734).

The calculation puts the density of states at the Fermi level at 4.20 states/eV/cell. Its total energy is -9.603 eV/atom. As for the energy relative to the lowest polymorph listed for this composition: 50 meV per atom.

---

(20)
Here is an optimized crystal structure of CeNp2Tc from the Alexandria database. Energies are from PBE.

It has space group R-3m (No. 166, hexagonal axes), with a = 4.6698 Å, b = 4.6698 Å, c = 13.3611 Å, α = 90.00°, β = 90.00° and γ = 120.00°. Symmetry generates all atoms from Ce at (0.0000, 0.0000, 0.0000), Np at (0.0000, 0.0000, 0.2425) and Tc at (0.0000, 0.0000, 0.5000).

The calculation puts the density of states at the Fermi level at 28.17 states/eV/cell. Its total energy is -10.260 eV/atom.